Material: Ho2ErPt9
Method: DFT, PBE
State: optimized geometry

The structure in POSCAR format:
```
Ho2ErPt9
1.0
4.1064 0.0000 0.0000
0.0000 4.1064 0.0000
0.0000 0.0000 12.3190
Ho Er Pt
2 1 9
direct
0.0000 0.0000 0.1669
0.0000 0.0000 0.8331
0.0000 0.0000 0.5000
0.0000 0.5000 0.0000
0.0000 0.5000 0.3340
0.0000 0.5000 0.6660
0.5000 0.0000 0.0000
0.5000 0.0000 0.3340
0.5000 0.0000 0.6660
0.5000 0.5000 0.1670
0.5000 0.5000 0.5000
0.5000 0.5000 0.8330
```

## Properties
Space group = P4/mmm (123)
DFT total energy = -6.735 eV/atom
Calculated volume = 17.3 Å³/atom



Material: HoErPt2
Method: DFT, PBE
State: optimized geometry

The structure in POSCAR format:
```
HoErPt2
1.0
0.0000 3.4730 3.4730
3.4730 0.0000 3.4730
3.4730 3.4730 0.0000
Ho Er Pt
1 1 2
direct
0.0000 0.0000 0.0000
0.5000 0.5000 0.5000
0.2500 0.2500 0.2500
0.7500 0.7500 0.7500
```

## Properties
Space group = Fm-3m (225)
Calculated volume = 20.9 Å³/atom
Energy above the lowest structure with this stoichiometry = 48 meV/atom



Material: HoEr3Pt
Method: DFT, PBE
State: optimized geometry

The structure in POSCAR format:
```
HoEr3Pt
1.0
5.1101 0.0000 0.0000
0.0000 8.4404 0.0000
-0.0091 0.0000 6.3894
Ho Er Pt
2 6 2
direct
0.2501 0.2500 0.0912
0.7499 0.7500 0.9088
0.2495 0.5478 0.6974
0.2495 0.9522 0.6974
0.2506 0.7500 0.2214
0.7494 0.2500 0.7786
0.7505 0.0478 0.3026
0.7505 0.4522 0.3026
0.2477 0.2500 0.5333
0.7523 0.7500 0.4667
```

## Properties
Space group = P2_1/m (11)
DFT total energy = -5.335 eV/atom
Calculated volume = 27.6 Å³/atom



> The highest calculated volume belongs to which entry?

HoEr3Pt